FeP2RuPb (PBE, relaxed); theoretical density = 7.80 g cm⁻³; crystal system = tetragonal; M_tot = 0.03 μB/f.u.; E = -0.2072 hartree per atom; formation energy from the elements = 0.814 eV/atom; symmetry = No. 123
1.0
4.165 0.000 0.000
0.000 5.226 0.000
0.000 0.000 4.165
P Ru Pb Fe
2 1 1 1
Cartesian
2.082 0.000 0.000
0.000 0.000 2.082
2.082 2.613 2.082
0.000 2.613 0.000
0.000 0.000 0.000